{"formula": "Sc5Rh", "functional": "PBE", "state": "relaxed", "e_form_mev_per_atom": -327, "de_polymorph_mev_per_atom": 0, "lattice_angstrom": [[3.372, 0.000, 0.000], [-1.686, 5.540, 0.000], [0.000, 2.749, 7.069]], "species": ["Rh", "Sc", "Sc", "Sc", "Sc", "Sc"], "frac_coords": [[0.028, 0.055, 0.944], [0.390, 0.781, 0.811], [0.695, 0.390, 0.648], [0.028, 0.056, 0.444], [0.361, 0.722, 0.240], [0.665, 0.331, 0.078]]}

=====

{"formula": "Sc3Rh", "functional": "PBE", "state": "relaxed", "e_form_mev_per_atom": -345, "lattice_angstrom": [[3.302, 0.000, 0.000], [-1.651, 2.859, 0.000], [0.000, 0.000, 9.099]], "species": ["Rh", "Sc", "Sc", "Sc"], "frac_coords": [[0.000, 0.000, 0.000], [0.000, 0.000, 0.500], [0.333, 0.667, 0.207], [0.333, 0.667, 0.793]]}